# 1
Below is a relaxed structure of LiPuAs2O8, with properties calculated at the PBE level.

extended XYZ file:
```
12
Lattice="-0.866 -4.804 3.265 4.479 -0.337 -3.784 1.251 4.371 3.718" Properties=species:S:1:pos:R:3 pbc="T T T"
O 2.811 -1.697 3.255
O 2.490 -3.521 0.996
O 0.508 -0.644 4.744
O 2.299 -0.929 -0.184
O 0.699 -3.184 3.280
O 1.347 1.891 3.559
O 3.593 1.017 2.029
O 0.366 -0.484 2.170
Li 0.000 0.000 0.000
As 1.096 -1.502 3.362
As 1.807 -2.571 -0.259
Pu 3.768 0.731 -0.162
```

Summary:
Total magnetization (μB per cell): 3.0

# 2
Below is a relaxed structure of Li2PuAsO8, with properties calculated at the PBE level.

extended XYZ file:
```
12
Lattice="-0.229 -0.637 5.774 2.543 -5.048 -1.360 2.813 4.744 -1.839" Properties=species:S:1:pos:R:3 pbc="T T T"
O 2.383 3.119 0.139
O 2.166 -3.140 3.923
O 1.094 -0.381 4.638
O 2.017 2.647 3.124
O 0.843 0.781 1.336
O 3.901 -0.109 0.443
O 1.804 -1.752 0.644
O 3.528 -0.519 3.184
Li 1.157 -2.842 2.207
Li 1.870 0.632 3.071
As 0.000 0.000 0.000
Pu 3.257 -1.573 -0.497
```

Summary:
Total magnetization (μB per cell): 1.0

# 3
Below is a relaxed structure of LiPuAsO, with properties calculated at the PBE level.

extended XYZ file:
```
8
Lattice="-1.450 -1.769 3.084 -1.818 -0.226 -3.374 5.773 -9.094 -2.502" Properties=species:S:1:pos:R:3 pbc="T T T"
O 2.782 -4.382 -1.206
O 5.668 -8.930 -2.457
As -0.230 -3.049 -1.856
As 2.779 -8.110 -0.955
Pu 3.635 -9.137 -3.532
Pu 0.872 -5.105 -0.128
Li 3.771 -5.940 -1.634
Li 0.884 -1.393 -0.383
```

Summary:
Total magnetization (μB per cell): 8.4

# 4
Below is a relaxed structure of Li2Pu2As2O, with properties calculated at the PBE level.

extended XYZ file:
```
7
Lattice="4.155 0.000 0.000 0.000 4.155 0.000 -2.077 -2.077 7.374" Properties=species:S:1:pos:R:3 pbc="T T T"
As 0.000 0.000 5.303
As 2.077 2.077 2.071
Pu 0.000 0.000 2.291
Pu 2.077 2.077 5.082
O 0.000 0.000 0.000
Li 2.077 0.000 0.000
Li 0.000 2.077 0.000
```

Summary:
Total magnetization (μB per cell): 10.0

# 5
Below is a relaxed structure of LiPuAsO6, with properties calculated at the PBE level.

extended XYZ file:
```
18
Lattice="-2.359 4.132 -0.119 -3.984 -2.309 -1.204 -2.113 -0.952 8.815" Properties=species:S:1:pos:R:3 pbc="T T T"
O -2.741 0.244 2.653
O -2.980 2.790 1.008
O -4.000 -1.255 0.327
O -1.817 0.518 -0.352
O -5.075 0.915 2.166
O -5.726 0.631 4.829
O -4.451 2.139 7.160
O -4.538 1.299 -0.920
O -3.770 2.272 4.081
O -4.698 -1.407 3.462
O -3.367 -0.047 5.322
O -5.477 -1.932 6.475
Li -4.925 0.121 6.653
Li -0.697 -0.314 2.907
Pu -3.515 0.756 0.773
Pu -1.400 -0.631 5.842
As -0.007 -0.003 0.028
As -4.235 0.432 3.774
```

Summary:
Total magnetization (μB per cell): 4.0

# 6
Below is a relaxed structure of RbLiAsO3, with properties calculated at the PBE level.

extended XYZ file:
```
12
Lattice="3.218 0.000 0.000 -1.609 6.309 0.000 0.000 0.000 8.170" Properties=species:S:1:pos:R:3 pbc="T T T"
Rb 0.000 3.432 2.043
Rb 1.609 2.877 6.128
As 0.000 0.000 0.000
As 0.000 0.000 4.085
O 0.000 5.030 4.387
O 0.000 5.030 7.869
O 1.609 1.279 0.302
O 1.609 1.279 3.784
O 0.000 0.381 6.128
O 1.609 5.928 2.043
Li 0.000 5.734 6.128
Li 1.609 0.575 2.043
```

Summary:
Total magnetization (μB per cell): 0.0

# 7
Below is a relaxed structure of RbLiAsO2, with properties calculated at the PBE level.

extended XYZ file:
```
5
Lattice="4.763 0.000 0.000 0.000 4.510 0.000 0.000 0.000 4.763" Properties=species:S:1:pos:R:3 pbc="T T T"
Rb 0.000 0.000 0.000
Li 0.000 2.255 0.000
O 0.000 0.000 2.382
O 2.382 0.000 0.000
As 2.382 2.255 2.382
```

Summary:
Total magnetization (μB per cell): 0.0

# 8
Below is a relaxed structure of Rb2LiAsO4, with properties calculated at the PBE level.

extended XYZ file:
```
16
Lattice="-4.918 0.001 0.435 -2.088 -4.244 4.428 -1.812 7.305 7.523" Properties=species:S:1:pos:R:3 pbc="T T T"
O -4.247 2.897 6.139
O -6.913 1.487 7.785
O -4.240 0.165 6.217
O -2.236 1.576 4.630
O -3.403 -0.044 1.671
O -3.204 5.940 7.685
O -7.543 3.107 10.902
O -3.486 -2.878 4.512
As -3.180 1.531 6.084
As -2.459 0.000 0.217
Li -5.639 1.531 6.301
Li 0.000 0.000 0.000
Rb -5.862 -0.991 3.779
Rb -2.036 4.783 5.001
Rb -4.695 2.523 2.957
Rb -5.415 4.053 8.824
```

Summary:
Total magnetization (μB per cell): 0.0

# 9
Below is a relaxed structure of Rb2LiAs2O6, with properties calculated at the PBE level.

extended XYZ file:
```
11
Lattice="-2.162 -5.647 -0.573 3.062 -4.680 2.370 -2.688 -2.816 5.696" Properties=species:S:1:pos:R:3 pbc="T T T"
Rb -0.730 -3.226 2.356
Rb -1.057 -9.916 5.137
Li 0.000 0.000 0.000
As -0.227 -6.711 2.609
As -1.560 -6.432 4.884
O 0.067 -8.385 2.638
O -1.394 -6.153 1.507
O 1.098 -5.691 2.911
O -0.393 -6.990 5.986
O -2.886 -7.452 4.582
O -1.854 -4.758 4.855
```

Summary:
Total magnetization (μB per cell): 0.7

# 10
Below is a relaxed structure of LiAsRh2O6, with properties calculated at the PBE level.

extended XYZ file:
```
10
Lattice="-3.678 1.426 2.535 -2.372 -4.602 -0.854 2.228 -1.953 4.331" Properties=species:S:1:pos:R:3 pbc="T T T"
O -1.636 -1.509 5.007
O -2.879 -3.922 4.559
O -0.930 0.360 0.641
O -0.634 -3.059 2.126
O -2.804 -0.485 2.736
O -4.048 -2.898 2.288
Rh -2.295 0.345 4.515
Rh -4.596 -0.979 1.923
As -2.240 0.868 1.544
Li -2.154 -2.470 3.173
```

Summary:
Total magnetization (μB per cell): 0.9

# 11
Below is a relaxed structure of LiAs2RhO, with properties calculated at the PBE level.

extended XYZ file:
```
5
Lattice="4.409 0.000 0.000 0.000 3.511 0.000 0.000 0.000 4.409" Properties=species:S:1:pos:R:3 pbc="T T T"
O 0.000 0.000 0.000
Li 0.000 1.756 0.000
Rh 2.204 1.756 2.204
As 0.000 0.000 2.204
As 2.204 0.000 0.000
```

Summary:
Total magnetization (μB per cell): 0.0

# 12
Below is a relaxed structure of LiAs2RhO6, with properties calculated at the PBE level.

extended XYZ file:
```
20
Lattice="5.052 -0.574 -0.595 1.019 7.394 1.412 1.019 1.137 7.442" Properties=species:S:1:pos:R:3 pbc="T T T"
O 0.954 2.818 3.696
O 3.611 4.655 5.603
O 5.822 2.987 6.136
O 2.326 0.923 0.023
O 2.239 8.255 7.632
O 3.479 3.303 2.655
O 3.794 1.650 4.748
O 6.137 5.140 4.562
O 1.268 4.970 2.122
O 4.852 -0.298 0.626
O 3.296 6.308 3.510
O 4.764 7.034 8.235
As 1.732 3.264 2.035
As 5.358 4.694 6.223
As 4.258 1.626 3.039
As 2.833 6.332 5.219
Li 4.808 5.035 2.824
Li 2.282 2.923 5.434
Rh 4.808 1.260 6.462
Rh 2.282 6.698 1.796
```

Summary:
Total magnetization (μB per cell): 3.9

# 13
Below is a relaxed structure of LiAs2RhO8, with properties calculated at the PBE level.

extended XYZ file:
```
12
Lattice="-0.501 1.338 -5.475 -4.843 -1.747 2.346 1.637 4.666 2.750" Properties=species:S:1:pos:R:3 pbc="T T T"
As -0.768 2.900 -2.145
As -2.672 -0.204 -1.564
O 0.591 3.988 0.820
O -3.477 0.853 -2.677
O -2.258 0.425 -0.004
O -1.198 2.277 -3.697
O 0.472 4.099 -2.051
O -2.394 3.366 -1.796
O -2.270 3.249 1.103
O 0.048 1.859 -1.034
Rh -2.939 1.357 1.766
Li 0.000 0.000 0.000
```

Summary:
Total magnetization (μB per cell): 2.3

# 14
Below is a relaxed structure of Li2AsRuO6, with properties calculated at the PBE level.

extended XYZ file:
```
10
Lattice="4.834 0.000 0.000 0.000 5.154 0.000 0.000 0.000 5.154" Properties=species:S:1:pos:R:3 pbc="T T T"
O 3.527 1.273 3.880
O 3.527 3.880 3.880
O 3.527 1.273 1.273
O 1.176 0.000 0.000
O 1.159 2.577 2.577
O 3.527 3.880 1.273
Li 4.485 0.000 2.577
Li 4.485 2.577 0.000
Ru 2.897 2.577 2.577
As 2.853 0.000 0.000
```

Summary:
Total magnetization (μB per cell): 0.6

# 15
Below is a relaxed structure of LiAs2RuO, with properties calculated at the PBE level.

extended XYZ file:
```
5
Lattice="4.415 0.000 0.000 0.000 3.419 0.000 0.000 0.000 4.415" Properties=species:S:1:pos:R:3 pbc="T T T"
Li 0.000 1.710 0.000
As 2.208 0.000 0.000
As 0.000 0.000 2.208
O 0.000 0.000 0.000
Ru 2.208 1.710 2.208
```

Summary:
Total magnetization (μB per cell): 0.0

# 16
Below is a relaxed structure of LiAsRuO4, with properties calculated at the PBE level.

extended XYZ file:
```
14
Lattice="-4.286 -0.322 3.651 -1.563 -0.212 -5.415 0.496 -5.701 0.080" Properties=species:S:1:pos:R:3 pbc="T T T"
Li -3.767 -1.731 2.355
Li -1.587 -4.503 -4.039
O -3.023 -5.985 1.173
O -4.157 -1.816 -1.324
O -2.084 -3.087 -2.818
O -3.270 -3.147 1.134
O -1.416 -1.566 -0.497
O -1.197 -4.418 -0.360
O -2.331 -0.249 -2.857
O -3.938 -4.668 -1.187
As -3.446 -4.578 2.150
As -1.908 -1.656 -3.834
Ru -2.925 -0.267 -0.882
Ru -2.677 -3.117 -0.842
```

Summary:
Total magnetization (μB per cell): 0.0

# 17
Below is a relaxed structure of LiAs2RuO6, with properties calculated at the PBE level.

extended XYZ file:
```
20
Lattice="5.102 -0.559 -0.580 0.963 7.418 1.407 0.963 1.131 7.465" Properties=species:S:1:pos:R:3 pbc="T T T"
As 4.260 1.632 3.039
As 2.769 6.358 5.253
As 1.709 3.256 2.034
As 5.320 4.734 6.259
O 4.642 7.157 8.215
O 3.816 1.680 4.750
O 4.939 -0.233 0.546
O 3.563 4.687 5.638
O 2.091 8.224 7.746
O 3.213 6.311 3.542
O 1.265 4.964 2.145
O 0.915 2.809 3.689
O 3.466 3.303 2.654
O 2.387 0.833 0.077
O 5.764 3.026 6.148
O 6.115 5.181 4.603
Li 2.239 2.980 5.404
Li 4.790 5.010 2.889
Ru 4.790 1.276 6.487
Ru 2.239 6.714 1.806
```

Summary:
Total magnetization (μB per cell): 0.0

# 18
Below is a relaxed structure of LiSbAsO6, with properties calculated at the PBE level.

extended XYZ file:
```
18
Lattice="5.115 0.000 0.000 -2.557 4.429 0.000 0.000 0.000 9.124" Properties=species:S:1:pos:R:3 pbc="T T T"
O 1.550 2.884 5.799
O 3.273 0.100 3.326
O -0.835 1.645 5.799
O 0.715 4.330 7.888
O 1.723 2.784 1.236
O 0.835 1.645 7.888
O 1.008 1.545 3.326
O -1.550 2.884 7.888
O 4.107 1.545 1.236
O -0.715 4.330 5.799
O 1.842 0.100 1.236
O 3.392 2.784 3.326
Sb 2.557 1.476 6.843
Sb 0.000 2.953 2.281
As 2.557 1.476 2.281
As 0.000 2.953 6.843
Li 0.000 0.000 4.562
Li 0.000 0.000 0.000
```

Summary:
Total magnetization (μB per cell): 2.0

# 19
Below is a relaxed structure of LiScAs2O8, with properties calculated at the PBE level.

extended XYZ file:
```
12
Lattice="-4.413 -0.476 3.439 4.598 -3.098 0.888 2.202 4.246 3.413" Properties=species:S:1:pos:R:3 pbc="T T T"
O 2.458 -0.559 3.076
O -0.096 -1.499 4.252
O -2.423 0.068 3.804
O -0.070 1.232 4.664
O 2.578 0.364 5.677
O 2.483 2.172 3.487
O -0.190 0.309 2.063
O 4.811 0.605 3.936
As 3.107 0.694 4.083
As -0.720 -0.021 3.657
Sc 0.000 0.000 0.000
Li 1.101 2.123 1.706
```

Summary:
Total magnetization (μB per cell): 2.0

# 20
Below is a relaxed structure of LiScAs2O6, with properties calculated at the PBE level.

extended XYZ file:
```
20
Lattice="-2.471 6.117 -1.237 -5.022 -0.591 -4.385 -5.289 0.992 3.980" Properties=species:S:1:pos:R:3 pbc="T T T"
O -8.626 5.241 1.049
O -4.596 2.836 -0.272
O -10.847 4.390 -0.340
O -9.559 1.026 -1.336
O -8.186 3.683 -1.369
O -1.935 2.129 -1.301
O -5.806 5.744 -1.684
O -4.155 1.278 -2.691
O -5.533 5.182 1.159
O -7.248 1.336 -2.800
O -6.975 0.774 0.042
O -3.222 5.493 -0.306
Li -6.952 4.452 -2.910
Li -5.830 2.067 1.268
As -7.902 1.741 -1.237
As -3.604 1.480 -1.050
As -9.178 5.038 -0.591
As -4.880 4.778 -0.405
Sc -5.663 1.080 -3.946
Sc -7.118 5.439 2.305
```

Summary:
Total magnetization (μB per cell): 0.0

no.,energy (eV per formula unit)
1,-85.33
2,-79.83
3,-32.35
4,-56.45
5,-67.24
6,-30.39
7,-13.47
8,-41.82
9,-58.42
10,-56.42
11,-25.83
12,-59.10
13,-67.35
14,-59.25
15,-27.00
16,-43.47
17,-62.13
18,-51.57
19,-75.10
20,-65.39